Al2GaBi (GGA-PBE, relaxed); energy of formation from the pure elements = 0.1770 eV per atom; D(E_F) = 1.92 states/eV per cell; calculated density = 6.1 g cm⁻³
1.0
-1.274 3.772 1.290
-1.583 0.472 3.845
4.496 2.534 3.818
Bi Ga Al
1 1 2
direct
0.500 0.500 0.500 Bi
0.000 0.000 0.000 Ga
0.273 0.273 0.181 Al
0.727 0.727 0.819 Al